# 1
La3MgNi after structural relaxation. Source: the Alexandria database, functional PBE.

```
La3MgNi
1.0
-1.218 -4.483 -2.952
4.111 1.167 -3.469
3.452 -2.972 3.090
La Mg Ni
3 1 1
Direct
0.000 0.000 0.500
0.000 0.500 0.000
0.500 0.000 0.000
0.500 0.500 0.500
0.000 0.000 0.000
```

Results
**Formation energy**: -5.3 kJ per mole of atoms
**Offset from the most stable computed form**: 48.3 meV per atom
**Total magnetization**: 0.00 μB per formula unit

=====

# 2
LaCoBr after structural relaxation. Source: the Alexandria database, functional PBE.

```
LaCoBr
1.0
-4.216 -2.608 0.389
-0.157 -4.059 2.868
-2.576 0.059 4.253
La Br Co
1 1 1
Direct
0.750 0.750 0.750
0.000 0.000 0.000
0.500 0.500 0.500
```

Results
**Total magnetization**: 0.99 μB per formula unit
**Formation energy from raw total energies**: -0.055 eV/atom

=====

# 3
MgMo2Br after structural relaxation. Source: the Alexandria database, functional PBE.

```
MgMo2Br
1.0
-3.782 2.687 1.273
-2.592 -3.988 0.721
0.892 -0.073 2.803
Mg Mo Br
1 2 1
Direct
0.000 0.500 0.500
0.000 0.000 0.000
0.500 0.500 0.000
0.500 0.000 0.500
```

Results
**Offset from the most stable computed form**: 879.0 meV per atom
**Total magnetization**: 0.00 μB per formula unit
**Formation energy from raw total energies**: 1.007 eV/atom

=====

# 4
Rb3CdSe after structural relaxation. Source: the Alexandria database, functional PBE.

```
Rb3CdSe
1.0
6.654 0.000 0.000
0.000 6.654 0.000
0.000 0.000 6.654
Se Cd Rb
1 1 3
Direct
0.000 0.000 0.000
0.500 0.500 0.500
0.000 0.000 0.500
0.000 0.500 0.000
0.500 0.000 0.000
```

Results
**Offset from the most stable computed form**: 0.0 meV per atom
**Total magnetization**: 0.00 μB per formula unit
**Formation energy from raw total energies**: -0.490 eV/atom

=====

# 5
CoGe4Ru2 after structural relaxation. Source: the Alexandria database, functional PBE.

```
CoGe4Ru2
1.0
3.222 0.000 0.000
0.000 5.695 -0.075
-1.611 -2.855 5.939
Ge Ru Co
4 2 1
Direct
0.387 0.703 0.774
0.613 0.297 0.226
0.900 0.256 0.799
0.100 0.744 0.201
0.751 0.762 0.502
0.249 0.238 0.498
0.000 0.000 0.000
```

Results
**Formation energy**: -13.0 kJ per mole of atoms
**Total magnetization**: 0.00 μB per formula unit

=====

# 6
NaFePd2 after structural relaxation. Source: the Alexandria database, functional PBE.

```
NaFePd2
1.0
7.162 0.000 0.000
0.000 7.162 0.000
3.581 3.581 2.789
Pd Fe Na
4 2 2
Direct
0.875 0.915 0.750
0.085 0.625 0.250
0.375 0.335 0.750
0.665 0.125 0.250
0.750 0.250 0.500
0.000 0.000 0.000
0.250 0.750 0.500
0.500 0.500 0.000
```

Results
**Formation energy**: 30.9 kJ per mole of atoms
**Total magnetization**: 3.93 μB per formula unit

=====

# 7
Pu2GeTe after structural relaxation. Source: the Alexandria database, functional PBE.

```
Pu2GeTe
1.0
-2.672 2.443 1.655
-2.219 0.385 -4.152
-5.148 -8.762 4.626
Ge Pu Te
2 4 2
Direct
0.250 0.544 0.089
0.750 0.456 0.911
0.250 0.326 0.652
0.250 0.943 0.887
0.750 0.057 0.113
0.750 0.674 0.348
0.250 0.182 0.363
0.750 0.818 0.637
```

Results
**Offset from the most stable computed form**: 31.0 meV per atom
**Total magnetization**: 0.18 μB per formula unit
**Formation energy from raw total energies**: -0.623 eV/atom

=====

# 8
MnCdRu2 after structural relaxation. Source: the Alexandria database, functional PBE.

```
MnCdRu2
1.0
-3.039 2.603 -1.134
-0.570 -1.615 -2.178
-3.768 -3.625 1.777
Mn Ru Cd
1 2 1
Direct
0.500 0.750 0.750
0.000 0.586 0.531
0.000 0.914 0.969
0.500 0.250 0.250
```

Results
**Formation energy**: 32.5 kJ per mole of atoms
**Total magnetization**: 2.74 μB per formula unit

=====

Listing V for the structures above in their given order: 33.354, 28.981, 17.026, 58.921, 15.468, 17.885, 25.650, 15.319 Å³ per atom.